(w)
Here is a geometry-optimized Cd2IrOs structure from Alexandria via LeMat-Bulk. Energies are from PBE-GGA.

abc: 2.8843 4.8320 4.8593
angles: 90.00 90.00 90.00
Last column: nearest neighbours and their distance in Å.
Space group Pmmm (No. 47)
One atom of each set of equivalent atoms:
Cd 0.0000 0.0000 0.0000 (multiplicity 1)  6 Cd 2.81-2.88, 4 Os 2.83
Cd 0.5000 0.5000 0.0000 (multiplicity 1)  6 Cd 2.81-2.88, 4 Ir 2.83
Ir 0.0000 0.5000 0.5000 (multiplicity 1)  4 Os 2.81, 4 Cd 2.83, 2 Ir 2.88
Os 0.5000 0.0000 0.5000 (multiplicity 1)  4 Ir 2.81, 4 Cd 2.83, 2 Os 2.88

Output
M_tot ... 0.0 μB per cell
N(E_F) ... 3.63 states/eV per cell
Calculated volume ... 67.7 Å³/cell

(x)
Here is a geometry-optimized Cd2IrOs structure from Alexandria via LeMat-Bulk. Energies are from PBE-GGA.

abc: 3.9886 3.9886 4.3138
angles: 90.00 90.00 90.00
Last column: nearest neighbours and their distance in Å.
Space group P4/mmm (No. 123)
One atom of each set of equivalent atoms:
Cd 0.0000 0.5000 0.0000 (multiplicity 2)  4 Cd 2.82, 4 Os 2.94, 4 Ir 2.94
Ir 0.0000 0.0000 0.5000 (multiplicity 1)  4 Os 2.82, 8 Cd 2.94
Os 0.5000 0.5000 0.5000 (multiplicity 1)  4 Ir 2.82, 8 Cd 2.94

Output
M_tot ... 1.6 μB per cell
N(E_F) ... 4.11 states/eV per cell
Calculated volume ... 68.6 Å³/cell

Which is most stable? The ranking, best first, is (w), (x).